Record 1
Here is crystalline TcIrW2N at its relaxed geometry from Alexandria. Energies are from PBE.

Structure (extended XYZ):
```
5
Lattice="4.101 0.000 0.000 0.000 4.101 0.000 0.000 0.000 4.030" Properties=species:S:1:pos:R:3 pbc="T T T"
Tc 0.000 0.000 0.000
Ir 2.051 2.051 0.000
W 0.000 2.051 2.015
W 2.051 0.000 2.015
N 0.000 0.000 2.015
```

The space group is No. 123. As for the raw total energy: -10.78 eV/atom. As for the density of states at the Fermi level: 4.49 states/eV/f.u.

Record 2
Here is crystalline ZnTcIrN2 at its relaxed geometry from Alexandria. Energies are from PBE.

Structure (extended XYZ):
```
5
Lattice="3.761 0.000 0.000 0.000 3.761 0.000 0.000 0.000 5.361" Properties=species:S:1:pos:R:3 pbc="T T T"
Zn 0.000 0.000 0.000
Tc 0.000 0.000 2.680
Ir 1.881 1.881 0.000
N 0.000 1.881 2.680
N 1.881 0.000 2.680
```

The space group is No. 123. As for the raw total energy: -6.18 eV/atom. As for the density of states at the Fermi level: 4.59 states/eV/f.u.

What did the second record say?
Here is crystalline ZnTcIrN2 at its relaxed geometry from Alexandria. Energies are from PBE.

Structure (extended XYZ):
```
5
Lattice="3.761 0.000 0.000 0.000 3.761 0.000 0.000 0.000 5.361" Properties=species:S:1:pos:R:3 pbc="T T T"
Zn 0.000 0.000 0.000
Tc 0.000 0.000 2.680
Ir 1.881 1.881 0.000
N 0.000 1.881 2.680
N 1.881 0.000 2.680
```

The space group is No. 123. As for the raw total energy: -6.18 eV/atom. As for the density of states at the Fermi level: 4.59 states/eV/f.u.

What did the second record say?
Here is crystalline ZnTcIrN2 at its relaxed geometry from Alexandria. Energies are from PBE.

Structure (extended XYZ):
```
5
Lattice="3.761 0.000 0.000 0.000 3.761 0.000 0.000 0.000 5.361" Properties=species:S:1:pos:R:3 pbc="T T T"
Zn 0.000 0.000 0.000
Tc 0.000 0.000 2.680
Ir 1.881 1.881 0.000
N 0.000 1.881 2.680
N 1.881 0.000 2.680
```

The space group is No. 123. As for the raw total energy: -6.18 eV/atom. As for the density of states at the Fermi level: 4.59 states/eV/f.u.

What is the formula in the first record? TcIrW2N

Look up the raw total energy of the first one. -10.78 eV/atom